Entry 1:
A plane-wave DFT calculation with SCAN was carried out for TlCoPtBr2 at its PBEsol-relaxed geometry.

Unit cell a=5.1688 b=5.1688 c=4.7205 alpha=90.00 beta=90.00 gamma=90.00
Element x y z (fractional)
Tl: 0.0000 0.0000 0.0000
Co: 0.5000 0.5000 0.0000
Pt: 0.5000 0.5000 0.5000
Br: 0.0000 0.5000 0.5000
Br: 0.5000 0.0000 0.5000

Computed properties:
Uncorrected formation energy   0.23 eV per atom
Space-group type   P4/mmm, No. 123
Crystal system   tetragonal
Magnetic moment   0.518 μB/atom

=====

Entry 2:
A plane-wave DFT calculation with SCAN was carried out for DyMn2O4 at its PBEsol-relaxed geometry.

Unit cell a=8.3085 b=8.3085 c=8.3085 alpha=24.67 beta=24.67 gamma=24.67
Element x y z (fractional)
Dy: 0.0000 0.0000 0.0000
Mn: 0.2133 0.2133 0.2133
Mn: 0.7867 0.7867 0.7867
O: 0.1294 0.1294 0.1294
O: 0.2924 0.2924 0.2924
O: 0.7076 0.7076 0.7076
O: 0.8706 0.8706 0.8706

Computed properties:
Uncorrected formation energy   -2.74 eV per atom
Space-group type   R-3m, No. 166
Crystal system   trigonal
Magnetic moment   1.286 μB/atom

=====

Repeat the first record exactly.
A plane-wave DFT calculation with SCAN was carried out for TlCoPtBr2 at its PBEsol-relaxed geometry.

Unit cell a=5.1688 b=5.1688 c=4.7205 alpha=90.00 beta=90.00 gamma=90.00
Element x y z (fractional)
Tl: 0.0000 0.0000 0.0000
Co: 0.5000 0.5000 0.0000
Pt: 0.5000 0.5000 0.5000
Br: 0.0000 0.5000 0.5000
Br: 0.5000 0.0000 0.5000

Computed properties:
Uncorrected formation energy   0.23 eV per atom
Space-group type   P4/mmm, No. 123
Crystal system   tetragonal
Magnetic moment   0.518 μB/atom

=====

Repeat the second record exactly.
A plane-wave DFT calculation with SCAN was carried out for DyMn2O4 at its PBEsol-relaxed geometry.

Unit cell a=8.3085 b=8.3085 c=8.3085 alpha=24.67 beta=24.67 gamma=24.67
Element x y z (fractional)
Dy: 0.0000 0.0000 0.0000
Mn: 0.2133 0.2133 0.2133
Mn: 0.7867 0.7867 0.7867
O: 0.1294 0.1294 0.1294
O: 0.2924 0.2924 0.2924
O: 0.7076 0.7076 0.7076
O: 0.8706 0.8706 0.8706

Computed properties:
Uncorrected formation energy   -2.74 eV per atom
Space-group type   R-3m, No. 166
Crystal system   trigonal
Magnetic moment   1.286 μB/atom

=====

Among the records above, which one has the lowest magnetic moment?
TlCoPtBr2